(1)
Sr3YPd | GGA-PBE | relaxed

## Properties
Its symmetry is Pm-3m (221). The value obtained for the formation energy is -42 meV per atom. The value obtained for the excess energy over the best structure of this formula in the dataset is 0.00 kcal/mol of atoms.

Unit cell a=5.944 b=5.944 c=5.944 alpha=90.00 beta=90.00 gamma=90.00
Atoms (fractional coordinates):
Pd  0.000  0.000  0.000
Sr  0.500  0.000  0.000
Sr  0.000  0.500  0.000
Sr  0.000  0.000  0.500
Y  0.500  0.500  0.500



(2)
Sr2YPd2 | GGA-PBE | relaxed

## Properties
Its symmetry is P4/mbm (127). The value obtained for the formation energy is -526 meV per atom. The value obtained for the excess energy over the best structure of this formula in the dataset is 0.00 kcal/mol of atoms.

Unit cell a=7.734 b=7.734 c=4.714 alpha=90.00 beta=90.00 gamma=90.00
Atoms (fractional coordinates):
Sr  0.667  0.833  0.500
Sr  0.833  0.333  0.500
Sr  0.333  0.167  0.500
Sr  0.167  0.667  0.500
Pd  0.869  0.631  0.000
Pd  0.631  0.131  0.000
Pd  0.131  0.369  0.000
Pd  0.369  0.869  0.000
Y  0.500  0.500  0.000
Y  0.000  0.000  0.000



(3)
SrY2Pd2 | GGA-PBE | relaxed

## Properties
Its symmetry is P4/mbm (127). The value obtained for the formation energy is -500 meV per atom. The value obtained for the excess energy over the best structure of this formula in the dataset is 2.34 kcal/mol of atoms.

Unit cell a=8.603 b=8.603 c=3.373 alpha=90.00 beta=90.00 gamma=90.00
Atoms (fractional coordinates):
Pd  0.842  0.342  0.500
Pd  0.658  0.842  0.500
Pd  0.158  0.658  0.500
Pd  0.342  0.158  0.500
Y  0.635  0.135  0.000
Y  0.365  0.865  0.000
Y  0.865  0.635  0.000
Y  0.135  0.365  0.000
Sr  0.000  0.000  0.000
Sr  0.500  0.500  0.000



(4)
SrY2Pd2 | GGA-PBE | relaxed

## Properties
Its symmetry is P4/mbm (127). The value obtained for the formation energy is -602 meV per atom. The value obtained for the excess energy over the best structure of this formula in the dataset is 0.00 kcal/mol of atoms.

Unit cell a=8.220 b=8.220 c=3.845 alpha=90.00 beta=90.00 gamma=90.00
Atoms (fractional coordinates):
Y  0.152  0.652  0.500
Y  0.848  0.348  0.500
Y  0.652  0.848  0.500
Y  0.348  0.152  0.500
Sr  0.500  0.500  0.000
Sr  0.000  0.000  0.000
Pd  0.632  0.132  0.000
Pd  0.368  0.868  0.000
Pd  0.132  0.368  0.000
Pd  0.868  0.632  0.000



(5)
SrYZnPd2 | GGA-PBE | relaxed

## Properties
Its symmetry is P4/mmm (123). The value obtained for the formation energy is -23 meV per atom.

Unit cell a=4.966 b=5.064 c=4.966 alpha=90.00 beta=90.00 gamma=90.00
Atoms (fractional coordinates):
Zn  0.000  0.000  0.000
Pd  0.500  0.000  0.000
Pd  0.000  0.000  0.500
Sr  0.500  0.500  0.500
Y  0.000  0.500  0.000



(6)
SrZnPd | GGA-PBE | relaxed

## Properties
Its symmetry is P4/nmm (129). The value obtained for the formation energy is -519 meV per atom.

Unit cell a=4.530 b=4.530 c=7.048 alpha=90.00 beta=90.00 gamma=90.00
Atoms (fractional coordinates):
Zn  0.250  0.750  0.000
Zn  0.750  0.250  0.000
Sr  0.250  0.250  0.670
Sr  0.750  0.750  0.330
Pd  0.250  0.250  0.191
Pd  0.750  0.750  0.809



(7)
Sr4Zn3Pd | GGA-PBE | relaxed

## Properties
Its symmetry is Pmm2 (25). The value obtained for the formation energy is -339 meV per atom.

Unit cell a=4.515 b=4.562 c=11.924 alpha=90.00 beta=90.00 gamma=90.00
Atoms (fractional coordinates):
Zn  0.000  0.000  0.439
Zn  0.000  0.500  0.557
Zn  0.500  0.000  0.945
Sr  0.000  0.000  0.140
Sr  0.000  0.500  0.867
Sr  0.500  0.500  0.349
Sr  0.500  0.000  0.644
Pd  0.500  0.500  0.058



(8)
Sr2Zn2Pd15 | GGA-PBE | relaxed

## Properties
Its symmetry is R-3m (166). The value obtained for the formation energy is -296 meV per atom.

Unit cell a=7.017 b=7.017 c=7.017 alpha=82.24 beta=82.24 gamma=82.24
Atoms (fractional coordinates):
Pd  0.000  0.500  0.000
Pd  0.000  0.297  0.703
Pd  0.703  0.000  0.297
Pd  0.656  0.656  0.151
Pd  0.000  0.703  0.297
Pd  0.703  0.297  0.000
Pd  0.500  0.000  0.000
Pd  0.151  0.656  0.656
Pd  0.849  0.344  0.344
Pd  0.656  0.151  0.656
Pd  0.344  0.344  0.849
Pd  0.344  0.849  0.344
Pd  0.297  0.703  0.000
Pd  0.000  0.000  0.500
Pd  0.297  0.000  0.703
Sr  0.344  0.344  0.344
Sr  0.656  0.656  0.656
Zn  0.904  0.904  0.904
Zn  0.096  0.096  0.096



(9)
SrZn2Pd2 | GGA-PBE | relaxed

## Properties
Its symmetry is I4/mmm (139). The value obtained for the formation energy is -565 meV per atom. The value obtained for the excess energy over the best structure of this formula in the dataset is 0.00 kcal/mol of atoms.

Unit cell a=4.331 b=4.331 c=11.243 alpha=101.10 beta=101.10 gamma=90.00
Atoms (fractional coordinates):
Zn  0.815  0.815  0.631
Zn  0.000  0.500  0.000
Zn  0.500  0.000  0.000
Zn  0.185  0.185  0.369
Sr  0.371  0.371  0.742
Sr  0.629  0.629  0.258
Pd  0.250  0.750  0.500
Pd  0.750  0.250  0.500
Pd  0.934  0.934  0.867
Pd  0.066  0.066  0.133



(10)
Sr2Zn5Pd3 | GGA-PBE | relaxed

## Properties
Its symmetry is Ibam (72). The value obtained for the formation energy is -478 meV per atom.

Unit cell a=6.407 b=8.697 c=8.697 alpha=72.66 beta=68.39 gamma=68.39
Atoms (fractional coordinates):
Pd  0.750  0.000  0.000
Pd  0.376  0.497  0.751
Pd  0.124  0.249  0.503
Pd  0.250  0.000  0.000
Pd  0.624  0.503  0.249
Pd  0.876  0.751  0.497
Zn  0.998  0.252  0.252
Zn  0.502  0.748  0.748
Zn  0.624  0.750  0.002
Zn  0.376  0.250  0.998
Zn  0.876  0.998  0.250
Zn  0.002  0.748  0.748
Zn  0.250  0.500  0.500
Zn  0.750  0.500  0.500
Zn  0.498  0.252  0.252
Zn  0.124  0.002  0.750
Sr  0.124  0.631  0.121
Sr  0.876  0.369  0.879
Sr  0.624  0.121  0.631
Sr  0.376  0.879  0.369



(11)
Sr2ZnPd | GGA-PBE | relaxed

## Properties
Its symmetry is I-42d (122). The value obtained for the formation energy is -99 meV per atom.

Unit cell a=8.316 b=8.316 c=6.958 alpha=53.30 beta=53.30 gamma=90.00
Atoms (fractional coordinates):
Pd  0.750  0.250  0.500
Pd  0.000  0.000  0.000
Sr  0.875  0.899  0.750
Sr  0.649  0.125  0.250
Sr  0.101  0.625  0.250
Sr  0.375  0.351  0.750
Zn  0.500  0.500  0.000
Zn  0.250  0.750  0.500



(12)
SrZn12Pd6 | GGA-PBE | relaxed

## Properties
Its symmetry is R-3m (166). The value obtained for the formation energy is -329 meV per atom.

Unit cell a=7.219 b=7.219 c=7.219 alpha=104.47 beta=104.47 gamma=104.47
Atoms (fractional coordinates):
Zn  0.601  0.886  0.601
Zn  0.887  0.113  0.500
Zn  0.887  0.500  0.113
Zn  0.500  0.113  0.887
Zn  0.886  0.601  0.601
Zn  0.399  0.114  0.399
Zn  0.113  0.887  0.500
Zn  0.114  0.399  0.399
Zn  0.113  0.500  0.887
Zn  0.500  0.887  0.113
Zn  0.399  0.399  0.114
Zn  0.601  0.601  0.886
Pd  0.311  0.722  0.722
Pd  0.722  0.722  0.311
Pd  0.278  0.278  0.689
Pd  0.689  0.278  0.278
Pd  0.278  0.689  0.278
Pd  0.722  0.311  0.722
Sr  0.000  0.000  0.000